No. 1
## ReSn2MoAu (PBE)

Data for crystalline ReSn2MoAu at its relaxed geometry.

Cell: 5.142 5.142 4.992 Å, 90.00 90.00 90.00°
Fractional positions:
Re 0.000 0.000 0.000
Sn 0.000 0.500 0.500
Sn 0.500 0.000 0.500
Mo 0.500 0.500 0.000
Au 0.000 0.000 0.500

Space group ... P4/mmm (123)
ΔH_f (0 K) ... 1.98 eV/atom

No. 2
## SrRe2MoAu (PBE)

Data for crystalline SrRe2MoAu at its relaxed geometry.

Cell: 4.761 4.761 5.322 Å, 90.00 90.00 90.00°
Fractional positions:
Sr 0.000 0.000 0.000
Re 0.000 0.500 0.500
Re 0.500 0.000 0.500
Mo 0.500 0.500 0.500
Au 0.500 0.500 0.000

Space group ... P4/mmm (123)
ΔH_f (0 K) ... 1.21 eV/atom

No. 3
## VReMoAu2 (PBE)

Data for crystalline VReMoAu2 at its relaxed geometry.

Cell: 4.766 4.766 4.233 Å, 90.00 90.00 90.00°
Fractional positions:
V 0.000 0.000 0.000
Re 0.500 0.500 0.500
Mo 0.000 0.000 0.500
Au 0.000 0.500 0.000
Au 0.500 0.000 0.000

Space group ... P4/mmm (123)
ΔH_f (0 K) ... 1.75 eV/atom

No. 4
## YRe2MoAu (PBE)

Data for crystalline YRe2MoAu at its relaxed geometry.

Cell: 4.951 4.951 5.054 Å, 90.00 90.00 90.00°
Fractional positions:
Y 0.000 0.000 0.000
Re 0.000 0.500 0.500
Re 0.500 0.000 0.500
Mo 0.500 0.500 0.000
Au 0.000 0.000 0.500

Space group ... P4/mmm (123)
ΔH_f (0 K) ... 2.23 eV/atom

No. 5
## MoRh2Au (PBE)

Data for crystalline MoRh2Au at its relaxed geometry.

Cell: 4.807 4.807 4.897 Å, 99.60 99.60 33.62°
Fractional positions:
Mo 0.000 0.000 0.000
Rh 0.255 0.255 0.765
Rh 0.745 0.745 0.235
Au 0.500 0.500 0.500

Space group ... C2/m (12)
ΔH_f (0 K) ... 0.03 eV/atom

No. 6
## MoRhAu2 (PBE)

Data for crystalline MoRhAu2 at its relaxed geometry.

Cell: 4.782 4.782 2.894 Å, 90.00 90.00 90.00°
Fractional positions:
Mo 0.000 0.000 0.000
Rh 0.500 0.500 0.000
Au 0.000 0.500 0.500
Au 0.500 0.000 0.500

Space group ... P4/mmm (123)
ΔH_f (0 K) ... 0.40 eV/atom

No. 7
## MoRhAu2 (PBE)

Data for crystalline MoRhAu2 at its relaxed geometry.

Cell: 5.050 4.968 3.961 Å, 67.81 65.62 46.57°
Fractional positions:
Mo 0.000 0.000 0.000
Rh 0.500 0.500 0.500
Au 0.250 0.250 0.250
Au 0.750 0.750 0.750

Space group ... Fmmm (69)
ΔH_f (0 K) ... 0.24 eV/atom

No. 8
## Mo2RhAu2 (PBE)

Data for crystalline Mo2RhAu2 at its relaxed geometry.

Cell: 7.544 7.544 3.079 Å, 90.00 90.00 90.00°
Fractional positions:
Mo 0.110 0.390 0.000
Mo 0.390 0.890 0.000
Mo 0.610 0.110 0.000
Mo 0.890 0.610 0.000
Rh 0.000 0.000 0.000
Rh 0.500 0.500 0.000
Au 0.184 0.684 0.500
Au 0.316 0.184 0.500
Au 0.684 0.816 0.500
Au 0.816 0.316 0.500

Space group ... P4/mbm (127)
ΔH_f (0 K) ... 0.61 eV/atom

No. 9
## MoRhAu (PBE)

Data for crystalline MoRhAu at its relaxed geometry.

Cell: 2.800 2.800 12.288 Å, 90.00 90.00 90.00°
Fractional positions:
Mo 0.250 0.250 0.086
Mo 0.750 0.750 0.914
Rh 0.250 0.250 0.767
Rh 0.750 0.750 0.233
Au 0.250 0.250 0.408
Au 0.750 0.750 0.592

Space group ... P4/nmm (129)
ΔH_f (0 K) ... -0.03 eV/atom

No. 10
## MoRhAu2 (PBE)

Data for crystalline MoRhAu2 at its relaxed geometry.

Cell: 2.844 2.844 8.154 Å, 90.00 90.00 90.00°
Fractional positions:
Mo 0.000 0.000 0.000
Rh 0.500 0.500 0.210
Au 0.000 0.000 0.471
Au 0.500 0.500 0.743

Space group ... P4mm (99)
ΔH_f (0 K) ... 0.00 eV/atom

No. 11
## MoRh2Au (PBE)

Data for crystalline MoRh2Au at its relaxed geometry.

Cell: 4.773 4.773 4.773 Å, 130.66 130.66 72.36°
Fractional positions:
Mo 0.000 0.000 0.000
Rh 0.250 0.750 0.500
Rh 0.750 0.250 0.500
Au 0.500 0.500 0.000

Space group ... I4/mmm (139)
ΔH_f (0 K) ... -0.03 eV/atom

No. 12
## MoRh2Au (PBE)

Data for crystalline MoRh2Au at its relaxed geometry.

Cell: 2.782 2.782 7.988 Å, 90.00 90.00 90.00°
Fractional positions:
Mo 0.000 0.000 0.000
Rh 0.000 0.000 0.474
Rh 0.500 0.500 0.230
Au 0.500 0.500 0.735

Space group ... P4mm (99)
ΔH_f (0 K) ... 0.08 eV/atom

In μB/f.u., the magnetic moment values for the records above are, in order, 3.7, 1.5, 0.0, 0.0, 0.0, 0.3, 0.0, 0.0, 0.0, 0.0, 0.0, 0.3.